(1)
# TaNbTe3

A relaxed TaNbTe3 crystal (PBE, Alexandria via LeMat-Bulk).

Results
The calculation puts the density of states at the Fermi level at 8.3 states/eV per cell. Its calculated volume is 508 Å³/cell. The value obtained for the total magnetic moment is 0.00 μB/f.u. The energy above the most stable polymorph in this dataset comes out at 0.041 eV/atom. The mass density is 8.6 g cm⁻³.

Cell and atoms, written as POSCAR:
```
TaNbTe3
1.0
-0.758 5.753 4.568
-8.001 -0.844 2.805
1.915 -3.345 7.599
Ta Nb Te
4 4 12
Cartesian
-0.628 -1.313 7.603
-6.215 2.877 7.369
-8.068 0.563 4.007
1.224 1.001 10.966
-6.186 -0.012 9.504
-2.728 -0.683 2.001
-0.658 1.576 5.469
-4.115 2.247 12.972
-4.955 -0.175 3.554
-6.432 0.103 6.754
-1.888 1.739 11.418
-0.411 1.461 8.218
-3.548 2.316 6.458
-5.231 2.517 10.046
-3.296 -0.752 8.514
-1.612 -0.953 4.927
-4.678 -0.441 12.035
-0.616 4.396 6.154
-2.165 2.005 2.938
-6.228 -2.831 8.819
```

(2)
# SrMg2As

A relaxed SrMg2As crystal (PBE, Alexandria via LeMat-Bulk).

Results
The calculation puts the density of states at the Fermi level at 2.4 states/eV per cell. Its calculated volume is 109 Å³/cell. The value obtained for the total magnetic moment is 0.00 μB/f.u. The mass density is 3.2 g cm⁻³. Its formation energy is -267 meV/atom.

Cell and atoms, written as POSCAR:
```
SrMg2As
1.0
-2.008 -5.307 -2.286
0.827 -4.862 3.620
-2.569 5.552 0.097
As Mg Sr
1 2 1
Cartesian
-1.140 -1.972 2.162
-0.074 -0.639 0.084
-2.579 -2.383 -0.766
-0.547 -4.708 0.618
```

(3)
# GePtPbW2

A relaxed GePtPbW2 crystal (PBE, Alexandria via LeMat-Bulk).

Results
The calculation puts the density of states at the Fermi level at 6.0 states/eV per cell. Its calculated volume is 129 Å³/cell. The value obtained for the total magnetic moment is 0.00 μB/f.u. The mass density is 10.9 g cm⁻³. Its formation energy is 2674 meV/atom.

Cell and atoms, written as POSCAR:
```
GePtPbW2
1.0
-3.975 -3.127 0.642
2.897 -3.891 -1.020
1.148 -0.442 4.948
Pb Ge W Pt
1 1 2 1
Cartesian
0.000 0.000 0.000
0.035 -3.731 2.285
0.574 -0.221 2.474
-1.987 -1.564 0.321
1.449 -1.946 -0.510
```

(4)
# AcBi12Ir4

A relaxed AcBi12Ir4 crystal (PBE, Alexandria via LeMat-Bulk).

Results
The calculation puts the density of states at the Fermi level at 9.6 states/eV per cell. Its calculated volume is 487 Å³/cell. The value obtained for the total magnetic moment is 0.00 μB/f.u. The mass density is 11.9 g cm⁻³. Its formation energy is -127 meV/atom.

Cell and atoms, written as POSCAR:
```
AcBi12Ir4
1.0
-1.276 2.383 -8.151
-4.968 -6.764 1.816
-2.002 6.508 5.232
Ac Bi Ir
1 12 4
Cartesian
0.000 0.000 0.000
-3.095 0.880 -5.318
-3.208 -1.512 -1.005
-3.172 5.207 -2.948
-2.988 5.078 1.981
-5.074 -3.080 1.845
-5.038 3.639 -0.099
-2.096 2.288 -1.990
-6.150 -0.161 0.887
-5.258 -2.951 -3.084
-5.383 0.796 -3.005
-2.863 1.331 1.902
-5.151 1.247 4.215
-2.484 -3.382 0.908
-0.638 1.191 -4.075
-4.123 1.063 -0.552
-1.001 3.254 2.616
```

(5)
# Pm3Nd5Ho2

A relaxed Pm3Nd5Ho2 crystal (PBE, Alexandria via LeMat-Bulk).

Results
The calculation puts the density of states at the Fermi level at 29.9 states/eV per cell. Its calculated volume is 731 Å³/cell. The value obtained for the total magnetic moment is 0.00 μB/f.u. The energy above the most stable polymorph in this dataset comes out at 0.184 eV/atom. The mass density is 6.7 g cm⁻³. Its formation energy is 357 meV/atom.

Cell and atoms, written as POSCAR:
```
Pm3Nd5Ho2
1.0
-1.732 -0.032 -11.004
-1.582 -8.364 -5.365
-8.831 -2.296 -4.242
Pm Nd Ho
6 10 4
Cartesian
-0.433 -0.008 -2.751
-1.299 -0.024 -8.253
-8.970 -5.164 -9.850
-3.174 -5.528 -10.761
-6.216 -8.210 -15.913
-5.928 -2.482 -4.698
-5.639 -5.338 -7.555
-6.505 -5.354 -13.056
-8.682 -8.019 -12.706
-2.596 -2.657 -2.403
-3.462 -2.673 -7.905
-9.548 -8.035 -18.208
-3.401 -4.641 -5.090
-8.743 -6.051 -15.521
-5.743 -3.422 -10.363
-6.401 -7.270 -10.248
-9.953 -8.820 -9.685
-2.191 -1.872 -10.926
-9.579 -9.873 -15.379
-2.565 -0.819 -5.232
```

(6)
# La2YIr2

A relaxed La2YIr2 crystal (PBE, Alexandria via LeMat-Bulk).

Results
The calculation puts the density of states at the Fermi level at 9.7 states/eV per cell. Its calculated volume is 240 Å³/cell. The value obtained for the total magnetic moment is 0.01 μB/f.u. The energy above the most stable polymorph in this dataset comes out at 0.292 eV/atom. The mass density is 10.4 g cm⁻³. Its formation energy is -360 meV/atom.

Cell and atoms, written as POSCAR:
```
La2YIr2
1.0
8.507 0.000 0.000
0.000 8.507 0.000
0.000 0.000 3.315
Y Ir La
2 4 4
Cartesian
0.000 0.000 0.000
4.253 4.253 0.000
1.483 5.736 1.658
5.736 7.024 1.658
7.024 2.770 1.658
2.770 1.483 1.658
3.114 7.367 0.000
7.367 5.393 0.000
5.393 1.140 0.000
1.140 3.114 0.000
```